No. 1
This record from the Alexandria database describes K8Pd3O8 after structural relaxation. The functional is PBE.

a b c (Å): 5.4533 8.1749 10.1983
angles (deg): 106.05 105.51 90.00
Fractional positions:
K 0.0307 0.2344 0.0615
K 0.9693 0.7656 0.9385
K 0.3293 0.5576 0.6585
K 0.6707 0.4424 0.3415
K 0.3959 0.0537 0.7919
K 0.6041 0.9463 0.2081
K 0.1742 0.7378 0.3484
K 0.8258 0.2622 0.6516
Pd 0.5000 0.5000 0.0000
Pd 0.1950 0.1846 0.3900
Pd 0.8050 0.8154 0.6100
O 0.1066 0.0011 0.2132
O 0.8934 0.9989 0.7868
O 0.1768 0.4019 0.3537
O 0.8232 0.5981 0.6463
O 0.2957 0.2183 0.5914
O 0.7043 0.7817 0.4086
O 0.4758 0.7073 0.9515
O 0.5242 0.2927 0.0485

Output
Raw formation energy (kcal/mol of atoms): -22.11
V (A^3/atom): 22.09
Space-group type: C2/m, No. 12
Total moment (μB per cell): 3.6

***

No. 2
This record from the Alexandria database describes Fe3Co3Ge2 after structural relaxation. The functional is PBE.

a b c (Å): 7.0091 7.0091 7.0091
angles (deg): 33.60 33.60 33.60
Fractional positions:
Fe 0.1215 0.1215 0.1215
Fe 0.8770 0.8770 0.8770
Fe 0.3731 0.3731 0.3731
Co 0.2436 0.2436 0.2436
Co 0.7559 0.7559 0.7559
Co 0.6285 0.6285 0.6285
Ge 0.9983 0.9983 0.9983
Ge 0.5021 0.5021 0.5021

Output
Energy above the most stable polymorph in this dataset (meV/atom): 75
ΔE_f (meV per atom): -44
V (A^3/atom): 11.74
Space-group type: R3m, No. 160
Total moment (μB per cell): 10.3

***

No. 3
This record from the Alexandria database describes CePmPb2 after structural relaxation. The functional is PBE.

a b c (Å): 3.6092 3.6092 10.9947
angles (deg): 80.55 80.55 60.00
Fractional positions:
Pb 0.7496 0.7496 0.7512
Pb 0.2504 0.2504 0.2488
Ce 0.5000 0.5000 0.5000
Pm 0.0000 0.0000 0.0000

Output
ΔE_f (meV per atom): -290
V (A^3/atom): 30.45
Space-group type: R-3m, No. 166
Total moment (μB per cell): 0.9

***

No. 4
This record from the Alexandria database describes SrPt5 after structural relaxation. The functional is PBE.

a b c (Å): 5.5047 5.5047 4.3844
angles (deg): 90.00 90.00 120.00
Fractional positions:
Pt 0.3333 0.6667 0.0000
Pt 0.6667 0.3333 0.0000
Pt 0.5000 0.0000 0.5000
Pt 0.0000 0.5000 0.5000
Pt 0.5000 0.5000 0.5000
Sr 0.0000 0.0000 0.0000

Output
Energy above the most stable polymorph in this dataset (meV/atom): 0
ΔE_f (meV per atom): -545
V (A^3/atom): 19.18
Space-group type: P6/mmm, No. 191
Total moment (μB per cell): 0.0

***

No. 5
This record from the Alexandria database describes AlFe2Sb after structural relaxation. The functional is PBE.

a b c (Å): 5.0121 5.0121 5.0121
angles (deg): 140.82 131.87 63.72
Fractional positions:
Sb 0.5117 0.5117 0.0000
Fe 0.9864 0.9864 0.0000
Fe 0.7615 0.2615 0.5000
Al 0.2404 0.7404 0.5000

Output
Energy above the most stable polymorph in this dataset (meV/atom): 116
Raw formation energy (kcal/mol of atoms): 2.42
V (A^3/atom): 14.62
Space-group type: Imm2, No. 44
Total moment (μB per cell): 3.6

***

No. 6
This record from the Alexandria database describes TiSb2TeP after structural relaxation. The functional is PBE.

a b c (Å): 5.2729 5.2729 5.1654
angles (deg): 90.00 90.00 90.00
Fractional positions:
Sb 0.0000 0.5000 0.0000
Sb 0.5000 0.0000 0.0000
Te 0.0000 0.0000 0.5000
P 0.5000 0.5000 0.5000
Ti 0.0000 0.0000 0.0000

Output
Energy above the most stable polymorph in this dataset (meV/atom): 0
Raw formation energy (kcal/mol of atoms): 12.79
V (A^3/atom): 28.72
Space-group type: P4/mmm, No. 123
Total moment (μB per cell): 1.5

***

No. 7
This record from the Alexandria database describes Y3Hg after structural relaxation. The functional is PBE.

a b c (Å): 5.3415 6.6015 3.8154
angles (deg): 73.20 90.00 113.86
Fractional positions:
Y 0.1352 0.4368 0.2816
Y 0.4166 0.0000 0.5000
Y 0.6984 0.5632 0.7184
Hg 0.9164 0.0000 0.0000

Output
ΔE_f (meV per atom): -251
V (A^3/atom): 29.18
Space-group type: Immm, No. 71
Total moment (μB per cell): 0.0

***

No. 8
This record from the Alexandria database describes Zr2WAu after structural relaxation. The functional is PBE.

a b c (Å): 4.9140 4.9140 5.6109
angles (deg): 81.44 81.44 36.29
Fractional positions:
Au 0.7500 0.7500 0.7500
W 0.2500 0.2500 0.2500
Zr 0.0017 0.0017 0.0078
Zr 0.4983 0.4983 0.4922

Output
Energy above the most stable polymorph in this dataset (meV/atom): 380
ΔE_f (meV per atom): 138
V (A^3/atom): 19.80
Space-group type: C2/m, No. 12
Total moment (μB per cell): 0.0

***

No. 9
This record from the Alexandria database describes Mg2Cu4Au3 after structural relaxation. The functional is PBE.

a b c (Å): 3.9180 4.8572 8.3398
angles (deg): 73.04 76.41 66.21
Fractional positions:
Mg 0.3364 0.1055 0.2217
Mg 0.6636 0.8945 0.7783
Cu 0.6693 0.5565 0.1049
Cu 0.9950 0.3409 0.6692
Cu 0.0050 0.6591 0.3308
Cu 0.3307 0.4435 0.8951
Au 0.3333 0.7658 0.5676
Au 0.0000 0.0000 0.0000
Au 0.6667 0.2342 0.4324

Output
ΔE_f (meV per atom): -224
V (A^3/atom): 15.30
Space-group type: C2/m, No. 12
Total moment (μB per cell): 0.0

***

No. 10
This record from the Alexandria database describes K2PdRh3F12 after structural relaxation. The functional is PBE.

a b c (Å): 7.4345 7.4345 7.4345
angles (deg): 61.15 61.15 61.15
Fractional positions:
K 0.6340 0.6340 0.6340
K 0.3660 0.3660 0.3660
Pd 0.0000 0.0000 0.0000
Rh 0.5000 0.0000 0.0000
Rh 0.0000 0.5000 0.0000
Rh 0.0000 0.0000 0.5000
F 0.3216 0.3216 0.9094
F 0.9021 0.9021 0.3626
F 0.3626 0.9021 0.9021
F 0.9094 0.3216 0.3216
F 0.9021 0.3626 0.9021
F 0.3216 0.9094 0.3216
F 0.6784 0.6784 0.0906
F 0.0979 0.0979 0.6374
F 0.6374 0.0979 0.0979
F 0.0906 0.6784 0.6784
F 0.0979 0.6374 0.0979
F 0.6784 0.0906 0.6784

Output
Raw formation energy (kcal/mol of atoms): -39.47
V (A^3/atom): 16.56
Space-group type: R-3m, No. 166
Total moment (μB per cell): 2.4

***

No. 11
This record from the Alexandria database describes Tb2PmPr5Tm after structural relaxation. The functional is PBE.

a b c (Å): 9.4852 9.4852 9.7611
angles (deg): 119.07 119.07 90.00
Fractional positions:
Tb 0.1085 0.3915 0.0000
Tb 0.6085 0.1085 0.0000
Tb 0.3915 0.8915 0.0000
Tb 0.8915 0.6085 0.0000
Pm 0.2500 0.2500 0.5000
Pm 0.7500 0.7500 0.5000
Pr 0.9303 0.4303 0.2656
Pr 0.6647 0.1647 0.7344
Pr 0.0697 0.5697 0.7344
Pr 0.1647 0.0697 0.7344
Pr 0.5697 0.6647 0.7344
Pr 0.8353 0.9303 0.2656
Pr 0.4303 0.3353 0.2656
Pr 0.3353 0.8353 0.2656
Pr 0.5000 0.5000 0.0000
Pr 0.0000 0.0000 0.0000
Tm 0.2500 0.7500 0.5000
Tm 0.7500 0.2500 0.5000

Output
ΔE_f (meV per atom): 294
V (A^3/atom): 35.45
Space-group type: I4/mcm, No. 140
Total moment (μB per cell): 0.0

***

No. 12
This record from the Alexandria database describes Cs3BiSe3 after structural relaxation. The functional is PBE.

a b c (Å): 5.4448 14.7001 15.7080
angles (deg): 90.00 90.00 90.00
Fractional positions:
Cs 0.7500 0.7347 0.7959
Cs 0.2500 0.7653 0.2959
Cs 0.2500 0.2653 0.2041
Cs 0.7500 0.2347 0.7041
Cs 0.7500 0.1439 0.0076
Cs 0.2500 0.3561 0.5076
Cs 0.2500 0.8561 0.9924
Cs 0.7500 0.6439 0.4924
Cs 0.7500 0.9275 0.6050
Cs 0.2500 0.5725 0.1050
Cs 0.2500 0.0725 0.3950
Cs 0.7500 0.4275 0.8950
Bi 0.7500 0.9444 0.2022
Bi 0.2500 0.5556 0.7022
Bi 0.2500 0.0556 0.7978
Bi 0.7500 0.4444 0.2978
Se 0.7500 0.9827 0.8365
Se 0.2500 0.5173 0.3365
Se 0.2500 0.0173 0.1635
Se 0.7500 0.4827 0.6635
Se 0.7500 0.9057 0.3725
Se 0.2500 0.5943 0.8725
Se 0.2500 0.0943 0.6275
Se 0.7500 0.4057 0.1275
Se 0.7500 0.7758 0.1304
Se 0.2500 0.7242 0.6304
Se 0.2500 0.2242 0.8696
Se 0.7500 0.2758 0.3696

Output
Raw formation energy (kcal/mol of atoms): -22.25
V (A^3/atom): 44.90
Space-group type: Pnma, No. 62
Total moment (μB per cell): 0.0

***

No. 13
This record from the Alexandria database describes La8TcAu2 after structural relaxation. The functional is PBE.

a b c (Å): 4.9437 7.4316 9.6240
angles (deg): 92.42 104.88 90.00
Fractional positions:
La 0.5900 0.4808 0.1800
La 0.3541 0.0080 0.7083
La 0.2146 0.3299 0.4291
La 0.0087 0.7729 0.0175
La 0.7854 0.6701 0.5709
La 0.6459 0.9920 0.2917
La 0.4100 0.5192 0.8200
La 0.9913 0.2271 0.9825
Tc 0.5000 0.0000 0.0000
Au 0.1827 0.7352 0.3655
Au 0.8173 0.2648 0.6345

Output
ΔE_f (meV per atom): -285
V (A^3/atom): 31.04
Space-group type: C2/m, No. 12
Total moment (μB per cell): 0.0

***

No. 14
This record from the Alexandria database describes Si3BiAu after structural relaxation. The functional is PBE.

a b c (Å): 4.9233 4.9233 4.9233
angles (deg): 90.00 90.00 90.00
Fractional positions:
Si 0.0000 0.5000 0.0000
Si 0.0000 0.0000 0.5000
Si 0.5000 0.0000 0.0000
Au 0.0000 0.0000 0.0000
Bi 0.5000 0.5000 0.5000

Output
Energy above the most stable polymorph in this dataset (meV/atom): 0
Raw formation energy (kcal/mol of atoms): 18.14
V (A^3/atom): 23.87
Space-group type: Pm-3m, No. 221
Total moment (μB per cell): 0.0

***

No. 15
This record from the Alexandria database describes HfZr2CF after structural relaxation. The functional is PBE.

a b c (Å): 4.4725 4.1296 4.4725
angles (deg): 90.00 90.00 90.00
Fractional positions:
C 0.5000 0.5000 0.5000
Hf 0.0000 0.5000 0.0000
Zr 0.0000 0.0000 0.5000
Zr 0.5000 0.0000 0.0000
F 0.0000 0.0000 0.0000

Output
Raw formation energy (kcal/mol of atoms): 11.99
V (A^3/atom): 16.52
Space-group type: P4/mmm, No. 123
Total moment (μB per cell): 0.0

***

No. 16
This record from the Alexandria database describes BaBe2Re after structural relaxation. The functional is PBE.

a b c (Å): 4.6734 4.6734 8.6395
angles (deg): 74.31 74.31 90.00
Fractional positions:
Re 0.0000 0.0000 0.0000
Re 0.7500 0.2500 0.5000
Ba 0.5000 0.5000 0.0000
Ba 0.2500 0.7500 0.5000
Be 0.8750 0.1250 0.2500
Be 0.8750 0.6250 0.2500
Be 0.3750 0.1250 0.7500
Be 0.8750 0.1250 0.7500

Output
Energy above the most stable polymorph in this dataset (meV/atom): 400
ΔE_f (meV per atom): 819
V (A^3/atom): 21.79
Space-group type: I4_1/amd, No. 141
Total moment (μB per cell): 1.9

***

No. 17
This record from the Alexandria database describes Zr5GaHg after structural relaxation. The functional is PBE.

a b c (Å): 5.5625 5.5625 11.3712
angles (deg): 84.01 84.01 64.89
Fractional positions:
Zr 0.8435 0.6649 0.1608
Zr 0.2533 0.4102 0.5673
Zr 0.6649 0.8435 0.6608
Zr 0.3016 0.6984 0.2500
Zr 0.5898 0.7467 0.9327
Zr 0.4102 0.2533 0.0673
Zr 0.6984 0.3016 0.7500
Zr 0.3351 0.1565 0.3392
Zr 0.7467 0.5898 0.4327
Zr 0.1565 0.3351 0.8392
Ga 0.0000 0.0000 0.0000
Ga 0.0000 0.0000 0.5000
Hg 0.8241 0.1759 0.2500
Hg 0.1759 0.8241 0.7500

Output
ΔE_f (meV per atom): 7
V (A^3/atom): 22.58
Space-group type: C2/c, No. 15
Total moment (μB per cell): 0.0

***

No. 18
This record from the Alexandria database describes Li2CeAlAu4 after structural relaxation. The functional is PBE.

a b c (Å): 4.4686 4.4686 9.0798
angles (deg): 75.75 75.75 60.00
Fractional positions:
Li 0.7631 0.7631 0.7106
Li 0.2369 0.2369 0.2894
Ce 0.0000 0.0000 0.0000
Al 0.5000 0.5000 0.5000
Au 0.3988 0.3988 0.8035
Au 0.8691 0.8691 0.3927
Au 0.1309 0.1309 0.6073
Au 0.6012 0.6012 0.1965

Output
ΔE_f (meV per atom): -573
V (A^3/atom): 18.82
Space-group type: R-3m, No. 166
Total moment (μB per cell): 0.8

***

No. 19
This record from the Alexandria database describes ErVRh2 after structural relaxation. The functional is PBE.

a b c (Å): 4.2345 4.2345 5.2263
angles (deg): 66.10 66.10 60.00
Fractional positions:
V 0.5000 0.5000 0.5000
Rh 0.7825 0.7825 0.6526
Rh 0.2175 0.2175 0.3474
Er 0.0000 0.0000 0.0000

Output
Energy above the most stable polymorph in this dataset (meV/atom): 81
ΔE_f (meV per atom): -423
V (A^3/atom): 17.93
Space-group type: R-3m, No. 166
Total moment (μB per cell): 0.0

***

No. 20
This record from the Alexandria database describes YHfIrRh2 after structural relaxation. The functional is PBE.

a b c (Å): 4.7536 4.8880 4.7536
angles (deg): 90.00 90.00 90.00
Fractional positions:
Y 0.5000 0.5000 0.5000
Rh 0.0000 0.0000 0.5000
Rh 0.5000 0.0000 0.0000
Ir 0.0000 0.5000 0.0000
Hf 0.0000 0.0000 0.0000

Output
ΔE_f (meV per atom): 83
V (A^3/atom): 22.09
Space-group type: P4/mmm, No. 123
Total moment (μB per cell): 0.0

***

No. 21
This record from the Alexandria database describes Cu8Ge after structural relaxation. The functional is PBE.

a b c (Å): 3.6805 5.7891 5.7891
angles (deg): 84.20 71.47 71.47
Fractional positions:
Cu 0.3314 0.0000 0.3372
Cu 0.6686 0.0000 0.6628
Cu 0.6647 0.3353 0.3353
Cu 0.3314 0.3372 0.0000
Cu 0.0000 0.3353 0.6647
Cu 0.6686 0.6628 0.0000
Cu 0.3353 0.6647 0.6647
Cu 0.0000 0.6647 0.3353
Ge 0.0000 0.0000 0.0000

Output
ΔE_f (meV per atom): -2
V (A^3/atom): 12.32
Space-group type: I4/mmm, No. 139
Total moment (μB per cell): 0.0

***

No. 22
This record from the Alexandria database describes AlRuPb2 after structural relaxation. The functional is PBE.

a b c (Å): 5.3672 5.3672 5.3672
angles (deg): 131.26 131.26 71.40
Fractional positions:
Pb 0.0000 0.0000 0.0000
Pb 0.2500 0.7500 0.5000
Ru 0.5000 0.5000 0.0000
Al 0.7500 0.2500 0.5000

Output
ΔE_f (meV per atom): 555
V (A^3/atom): 21.38
Space-group type: I-4m2, No. 119
Total moment (μB per cell): 0.0

***

No. 23
This record from the Alexandria database describes Pr4PdSe3 after structural relaxation. The functional is PBE.

a b c (Å): 4.2114 7.4463 7.4463
angles (deg): 109.16 90.00 90.00
Fractional positions:
Pr 0.0000 0.2434 0.2434
Pr 0.5000 0.7487 0.2513
Pr 0.0000 0.7566 0.7566
Pr 0.5000 0.2513 0.7487
Se 0.0000 0.0000 0.5000
Se 0.5000 0.5000 0.5000
Se 0.0000 0.5000 0.0000
Pd 0.5000 0.0000 0.0000

Output
Raw formation energy (kcal/mol of atoms): -35.85
V (A^3/atom): 27.57
Space-group type: Cmmm, No. 65
Total moment (μB per cell): 0.0